Entry 1:
This record from Alexandria via LeMat-Bulk describes a relaxed CdNiPb4 crystal. The functional is PBE.

Lattice parameters (Å, degrees): 6.3781 6.3781 6.3781 60.00 60.00 60.00
With the nearest neighbours (Å) after each atom.
Positions (direct):
Cd (0.0000, 0.0000, 0.0000)  12 Pb 3.74, 4 Ni 3.91
Ni (0.7500, 0.7500, 0.7500)  12 Pb 3.74, 4 Cd 3.91
Pb (0.3754, 0.3754, 0.3754)  6 Pb 3.18-3.20
Pb (0.3754, 0.3754, 0.8737)  6 Pb 3.18-3.20
Pb (0.3754, 0.8737, 0.3754)  6 Pb 3.18-3.20
Pb (0.8737, 0.3754, 0.3754)  6 Pb 3.18-3.20

Calculated values
formation energy	0.613	eV/atom
SG	No. 216

---

Entry 2:
This record from Alexandria via LeMat-Bulk describes a relaxed Sm2YHoBi5 crystal. The functional is PBE.

Lattice parameters (Å, degrees): 5.4108 5.4108 11.8936 90.00 90.00 90.00
With the nearest neighbours (Å) after each atom.
Positions (direct):
Sm (0.0000, 0.0000, 0.2277)  1 Bi 3.24
Sm (0.0000, 0.0000, 0.7723)  1 Bi 3.24
Y (0.5000, 0.5000, 0.5000)  2 Bi 2.93
Ho (0.5000, 0.5000, 0.0000)  6 Bi 2.71-3.02
Bi (0.0000, 0.0000, 0.5000)  2 Sm 3.24
Bi (0.0000, 0.5000, 0.0000)  2 Ho 2.71
Bi (0.5000, 0.0000, 0.0000)  2 Ho 2.71
Bi (0.5000, 0.5000, 0.2537)  1 Y 2.93, 1 Ho 3.02
Bi (0.5000, 0.5000, 0.7463)  1 Y 2.93, 1 Ho 3.02

Calculated values
formation energy	-0.086	eV/atom
SG	No. 123

---

Entry 3:
This record from Alexandria via LeMat-Bulk describes a relaxed IrI2O crystal. The functional is PBE.

Lattice parameters (Å, degrees): 5.6112 5.6112 12.5336 90.00 90.00 90.00
With the nearest neighbours (Å) after each atom.
Positions (direct):
Ir (0.0000, 0.0000, 0.0000)  4 I 2.56
Ir (0.0000, 0.5000, 0.2500)  4 I 2.56
Ir (0.5000, 0.0000, 0.7500)  4 I 2.56
Ir (0.5000, 0.5000, 0.5000)  4 I 2.56
I (0.2392, 0.2500, 0.6250)  2 O 2.49, 2 Ir 2.56
I (0.2500, 0.7392, 0.8750)  2 O 2.49, 2 Ir 2.56
I (0.2500, 0.7608, 0.3750)  2 O 2.49, 2 Ir 2.56
I (0.2608, 0.2500, 0.1250)  2 O 2.49, 2 Ir 2.56
I (0.7392, 0.7500, 0.1250)  2 O 2.49, 2 Ir 2.56
I (0.7500, 0.2392, 0.3750)  2 O 2.49, 2 Ir 2.56
I (0.7500, 0.2608, 0.8750)  2 O 2.49, 2 Ir 2.56
I (0.7608, 0.7500, 0.6250)  2 O 2.49, 2 Ir 2.56
O (0.0000, 0.0000, 0.5000)  4 I 2.49
O (0.0000, 0.5000, 0.7500)  4 I 2.49
O (0.5000, 0.0000, 0.2500)  4 I 2.49
O (0.5000, 0.5000, 0.0000)  4 I 2.49

Calculated values
polymorph energy (0 for the lowest one)	0	meV/atom
uncorrected formation energy	0.658	eV/atom
SG	No. 122

---

Number 1: E -2.975 eV per atom. Number 2: E -4.518 eV per atom. Number 3: E -3.572 eV per atom.